Entry 1:
First-principles (GGA-PBE) data for a relaxed structure of KZrPdF7, as listed in Alexandria.

Cell: 11.602 8.128 6.518 Å, 90.00 90.00 90.00°
Space group Pnna (No. 52)
Asymmetric unit:
K: 0.250 0.000 0.231 x4
Zr: 0.092 0.250 0.750 x4
Pd: 0.099 0.750 0.750 x4
F: 0.046 0.180 0.448 x8
F: 0.083 0.750 0.250 x4
F: 0.106 0.011 0.853 x8
F: 0.245 0.206 0.566 x8

Computed properties:
**Energy**: -0.2047 Ha/atom
**Magnetization**: 2.00 μB/f.u.

=====

Entry 2:
First-principles (GGA-PBE) data for a relaxed structure of KZrPdF6, as listed in Alexandria.

Cell: 5.589 5.857 5.910 Å, 116.15 92.00 91.62°
Space group P1 (No. 1)
Asymmetric unit:
K: 0.000 0.000 0.000 x1
Zr: 0.489 0.652 0.342 x1
Pd: 0.504 0.323 0.694 x1
F: 0.218 0.659 0.116 x1
F: 0.302 0.351 0.370 x1
F: 0.326 0.939 0.637 x1
F: 0.668 0.362 0.062 x1
F: 0.706 0.640 0.631 x1
F: 0.714 0.894 0.291 x1

Computed properties:
**Energy**: -0.2085 Ha/atom
**Magnetization**: 1.00 μB/f.u.

=====

Entry 3:
First-principles (GGA-PBE) data for a relaxed structure of K5Pm2F12, as listed in Alexandria.

Cell: 14.165 7.947 7.648 Å, 90.00 122.23 90.00°
Space group C2/m (No. 12)
Asymmetric unit:
K: 0.000 0.000 0.000 x2
K: 0.208 0.500 0.025 x4
K: 0.227 0.500 0.503 x4
Pm: 0.000 0.247 0.500 x4
F: 0.001 0.500 0.674 x4
F: 0.078 0.000 0.704 x4
F: 0.093 0.198 0.326 x8
F: 0.190 0.297 0.742 x8

Computed properties:
**Fermi-level density of states**: 48.528 states/eV per cell
**Magnetization**: 1.33 μB/f.u.
**Energy relative to the lowest polymorph listed for this composition**: 0.0028 eV per atom

=====

Entry 4:
First-principles (GGA-PBE) data for a relaxed structure of KPm2F8, as listed in Alexandria.

Cell: 15.299 3.825 6.025 Å, 90.00 111.57 90.00°
Space group C2/m (No. 12)
Asymmetric unit:
K: 0.000 0.000 0.000 x2
Pm: 0.182 0.500 0.687 x4
F: 0.041 0.500 0.739 x4
F: 0.109 0.000 0.468 x4
F: 0.185 0.000 0.953 x4
F: 0.213 0.500 0.330 x4

Computed properties:
**Energy**: -0.2129 Ha/atom
**Fermi-level density of states**: 16.625 states/eV per cell
**Magnetization**: 1.04 μB/f.u.

=====

Entry 5:
First-principles (GGA-PBE) data for a relaxed structure of KPm2F7, as listed in Alexandria.

Cell: 7.317 11.631 4.510 Å, 90.00 90.00 90.00°
Space group Cmmm (No. 65)
Asymmetric unit:
K: 0.000 0.000 0.000 x2
Pm: 0.000 0.305 0.500 x4
F: 0.000 0.281 0.000 x4
F: 0.000 0.500 0.500 x2
F: 0.190 0.143 0.500 x8

Computed properties:
**Fermi-level density of states**: 0.000 states/eV per cell
**Magnetization**: 0.00 μB/f.u.
**Energy relative to the lowest polymorph listed for this composition**: 0.0000 eV per atom

=====

Entry 6:
First-principles (GGA-PBE) data for a relaxed structure of K3Pm2F8, as listed in Alexandria.

Cell: 8.237 12.691 4.165 Å, 90.00 90.00 90.00°
Space group Cmmm (No. 65)
Asymmetric unit:
K: 0.000 0.000 0.000 x2
K: 0.207 0.500 0.500 x4
Pm: 0.000 0.262 0.000 x4
F: 0.000 0.137 0.500 x4
F: 0.000 0.343 0.500 x4
F: 0.236 0.148 0.000 x8

Computed properties:
**Energy**: -0.1982 Ha/atom
**Fermi-level density of states**: 2.079 states/eV per cell
**Magnetization**: 1.00 μB/f.u.

=====

Entry 7:
First-principles (GGA-PBE) data for a relaxed structure of KPm2F7, as listed in Alexandria.

Cell: 4.188 4.188 17.152 Å, 90.00 90.00 90.00°
Space group I4/mmm (No. 139)
Asymmetric unit:
K: 0.000 0.000 0.000 x2
Pm: 0.000 0.000 0.348 x4
F: 0.000 0.000 0.500 x2
F: 0.000 0.500 0.103 x8
F: 0.000 0.500 0.250 x4

Computed properties:
**Fermi-level density of states**: 0.000 states/eV per cell
**Magnetization**: 0.10 μB/f.u.
**Energy relative to the lowest polymorph listed for this composition**: 0.0742 eV per atom

=====

Entry 8:
First-principles (GGA-PBE) data for a relaxed structure of K5Pm2F12, as listed in Alexandria.

Cell: 13.445 8.116 6.796 Å, 90.00 96.72 90.00°
Space group C2/m (No. 12)
Asymmetric unit:
K: 0.000 0.000 0.000 x2
K: 0.153 0.500 0.056 x4
K: 0.242 0.000 0.431 x4
Pm: 0.000 0.252 0.500 x4
F: 0.068 0.500 0.377 x4
F: 0.078 0.000 0.635 x4
F: 0.105 0.197 0.259 x8
F: 0.133 0.313 0.740 x8

Computed properties:
**Fermi-level density of states**: 29.367 states/eV per cell
**Magnetization**: 1.19 μB/f.u.
**Energy relative to the lowest polymorph listed for this composition**: 0.0000 eV per atom

=====

Entry 9:
First-principles (GGA-PBE) data for a relaxed structure of K3Pm6F20, as listed in Alexandria.

Cell: 12.071 12.071 12.071 Å, 90.00 90.00 90.00°
Space group Fm-3m (No. 225)
Asymmetric unit:
K: 0.000 0.000 0.000 x4
K: 0.250 0.250 0.250 x8
Pm: 0.000 0.000 0.270 x24
F: 0.000 0.162 0.162 x48
F: 0.119 0.119 0.381 x32

Computed properties:
**Energy**: -0.2254 Ha/atom
**Magnetization**: 1.00 μB/f.u.

=====

Entry 10:
First-principles (GGA-PBE) data for a relaxed structure of K2PmF5, as listed in Alexandria.

Cell: 11.007 7.540 6.742 Å, 90.00 90.00 90.00°
Space group Pnma (No. 62)
Asymmetric unit:
K: 0.172 0.003 0.029 x8
Pm: 0.005 0.250 0.562 x4
F: 0.011 0.250 0.901 x4
F: 0.080 0.534 0.647 x8
F: 0.170 0.250 0.363 x4
F: 0.196 0.750 0.331 x4

Computed properties:
**Fermi-level density of states**: 0.000 states/eV per cell
**Magnetization**: 0.18 μB/f.u.
**Energy relative to the lowest polymorph listed for this composition**: 0.0000 eV per atom

=====

Entry 11:
First-principles (GGA-PBE) data for a relaxed structure of KPmF3, as listed in Alexandria.

Cell: 13.429 10.553 6.245 Å, 90.00 90.00 90.00°
Space group Cmce (No. 64)
Asymmetric unit:
K: 0.250 0.143 0.250 x8
Pm: 0.000 0.150 0.661 x8
F: 0.000 0.062 0.310 x8
F: 0.100 0.218 0.948 x16

Computed properties:
**Energy**: -0.2003 Ha/atom
**Fermi-level density of states**: 4.182 states/eV per cell
**Magnetization**: 0.00 μB/f.u.

=====

Entry 12:
First-principles (GGA-PBE) data for a relaxed structure of KPmF2, as listed in Alexandria.

Cell: 3.170 3.170 7.250 Å, 90.00 90.00 90.00°
Space group P4/mmm (No. 123)
Asymmetric unit:
K: 0.000 0.000 0.000 x1
Pm: 0.000 0.000 0.500 x1
F: 0.500 0.500 0.227 x2

Computed properties:
**Fermi-level density of states**: 1.759 states/eV per cell
**Magnetization**: 0.00 μB/f.u.
**Energy relative to the lowest polymorph listed for this composition**: 0.4595 eV per atom